Computed, not measured: an optimized crystal structure of KNd2CoO5 at the GGA+U level of DFT.

The density is 5910 kg/m³. For the magnetic moment, the calculation gives 4.04 μB per cell. For the uncorrected energy, the calculation gives -61.8 eV per formula unit.

It has space group P4/mbm (No. 127), with a = 6.8038 Å, b = 6.8038 Å, c = 5.6635 Å, α = 90.00°, β = 90.00° and γ = 90.00°. The asymmetric unit holds K at (0.0000, 0.0000, 0.0000), Nd at (0.1780, 0.3220, 0.5000), Co at (0.0000, 0.5000, 0.0000), O at (0.0000, 0.0000, 0.5000) and O at (0.1304, 0.6304, 0.2384).